FeTe3C | Alexandria via LeMat-Bulk | PBE | relaxed; energy relative to the elements, uncorrected = 1.723 eV per atom; DOS(E_F) = 8.6 states/eV/cell; relative energy among the computed polymorphs = 0.249 eV per atom
1.0
4.9630 0.0000 0.0000
0.0000 4.9630 0.0000
0.0000 0.0000 4.9630
Fe Te C
1 3 1
Direct
0.0000 0.0000 0.0000
0.0000 0.0000 0.5000
0.0000 0.5000 0.0000
0.5000 0.0000 0.0000
0.5000 0.5000 0.5000

***

BeZn2Cl | Alexandria via LeMat-Bulk | PBE | relaxed; energy relative to the elements, uncorrected = 0.637 eV per atom; DOS(E_F) = 3.6 states/eV/cell; relative energy among the computed polymorphs = 0.729 eV per atom
1.0
0.0000 3.3220 3.3220
3.3220 0.0000 3.3220
3.3220 3.3220 0.0000
Be Zn Cl
1 2 1
Direct
0.0000 0.0000 0.0000
0.5000 0.5000 0.5000
0.7500 0.7500 0.7500
0.2500 0.2500 0.2500

***

LiMg2GeCl | Alexandria via LeMat-Bulk | PBE | relaxed; energy relative to the elements, uncorrected = 0.177 eV per atom; DOS(E_F) = 2.2 states/eV/cell
1.0
4.9520 0.0000 0.0000
0.0000 4.9520 0.0000
0.0000 0.0000 5.2813
Li Mg Ge Cl
1 2 1 1
Direct
0.0000 0.0000 0.0000
0.0000 0.5000 0.5000
0.5000 0.0000 0.5000
0.5000 0.5000 0.0000
0.5000 0.5000 0.5000

***

Rb2HfZnS4 | Alexandria via LeMat-Bulk | PBE | relaxed; energy relative to the elements, uncorrected = -1.243 eV per atom; DOS(E_F) = 0.0 states/eV/cell
1.0
-3.5866 3.5866 4.7763
3.5866 -3.5866 4.7763
3.5866 3.5866 -4.7763
Rb Hf Zn S
2 1 1 4
Direct
0.0000 0.0000 0.0000
0.7500 0.2500 0.5000
0.2500 0.7500 0.5000
0.5000 0.5000 0.0000
0.2393 0.1284 0.6059
0.3666 0.7607 0.8891
0.5225 0.6334 0.3941
0.8716 0.4775 0.1109

***

CrGeTe3 | Alexandria via LeMat-Bulk | PBE | relaxed; energy relative to the elements, uncorrected = -0.105 eV per atom; DOS(E_F) = 4.4 states/eV/cell
1.0
2.0098 -10.1664 0.0000
2.0098 10.1664 0.0000
0.0000 0.0000 6.9495
Cr Ge Te
2 2 6
Direct
0.1733 0.8267 0.5000
0.8267 0.1733 0.0000
0.3542 0.6458 0.5291
0.6458 0.3542 0.0291
0.0800 0.9200 0.2154
0.2542 0.7458 0.8261
0.4002 0.5998 0.1529
0.5998 0.4002 0.6529
0.7458 0.2542 0.3261
0.9200 0.0800 0.7154

***

VMo4 | Alexandria via LeMat-Bulk | PBE | relaxed; DOS(E_F) = 4.0 states/eV/cell; energy of formation = 129.9 kJ per mole of atoms; relative energy among the computed polymorphs = 1.438 eV per atom
1.0
4.4593 0.0000 0.0000
0.0000 4.4593 0.0000
0.0000 0.0000 4.4593
V Mo
1 4
Direct
0.0000 0.0000 0.0000
0.0000 0.0000 0.5000
0.0000 0.5000 0.0000
0.5000 0.0000 0.0000
0.5000 0.5000 0.5000

***

Ac3Cd4Rh4 | Alexandria via LeMat-Bulk | PBE | relaxed; DOS(E_F) = 5.3 states/eV/cell; energy of formation = -44.3 kJ per mole of atoms
1.0
-2.1290 4.0608 7.5713
2.1290 -4.0608 7.5713
2.1290 4.0608 -7.5713
Ac Cd Rh
3 4 4
Direct
0.0000 0.0000 0.0000
0.3796 0.8796 0.5000
0.6204 0.1204 0.5000
0.0157 0.3278 0.6879
0.3600 0.6722 0.6879
0.6400 0.3278 0.3121
0.9843 0.6722 0.3121
0.2337 0.2337 0.0000
0.3160 0.5000 0.8160
0.6840 0.5000 0.1840
0.7663 0.7663 0.0000

***

PmSbF6 | Alexandria via LeMat-Bulk | PBE | relaxed; energy relative to the elements, uncorrected = -3.091 eV per atom; DOS(E_F) = 0.0 states/eV/cell
1.0
2.8824 -4.2548 0.0000
2.8824 4.2548 0.0000
-1.0752 0.0000 5.6408
Pm Sb F
1 1 6
Direct
0.0000 0.0000 0.0000
0.5000 0.5000 0.5000
0.1122 0.4284 0.2404
0.2316 0.2316 0.7229
0.4284 0.1122 0.2404
0.5716 0.8878 0.7596
0.7684 0.7684 0.2771
0.8878 0.5716 0.7596

***

Ag2Se | Alexandria via LeMat-Bulk | PBE | relaxed; energy relative to the elements, uncorrected = 0.044 eV per atom; DOS(E_F) = 0.7 states/eV/cell
1.0
4.1806 0.0000 0.0000
0.0000 4.1806 0.0000
0.0000 0.0000 3.8067
Ag Se
2 1
Direct
0.0000 0.5000 0.0000
0.5000 0.0000 0.0000
0.0000 0.0000 0.5000

***

BeNiSe | Alexandria via LeMat-Bulk | PBE | relaxed; energy relative to the elements, uncorrected = -0.139 eV per atom; DOS(E_F) = 2.1 states/eV/cell
1.0
3.4906 0.0000 0.0000
0.9024 3.4778 0.0000
0.6109 1.4817 7.1203
Be Ni Se
2 2 2
Direct
0.0000 0.0000 0.0000
0.3561 0.6943 0.6117
0.3020 0.7562 0.3141
0.7345 0.1088 0.4940
0.5067 0.1114 0.8064
0.9048 0.4243 0.1898

***

CaAlTlHg | Alexandria via LeMat-Bulk | PBE | relaxed; DOS(E_F) = 1.3 states/eV/cell; energy of formation = -19.3 kJ per mole of atoms
1.0
0.0000 3.6521 3.6521
3.6521 0.0000 3.6521
3.6521 3.6521 0.0000
Ca Al Tl Hg
1 1 1 1
Direct
0.0000 0.0000 0.0000
0.5000 0.5000 0.5000
0.7500 0.7500 0.7500
0.2500 0.2500 0.2500

***

YPuThSc | Alexandria via LeMat-Bulk | PBE | relaxed; DOS(E_F) = 12.6 states/eV/cell; energy of formation = 17.7 kJ per mole of atoms
1.0
0.0000 3.8607 3.8607
3.8607 0.0000 3.8607
3.8607 3.8607 0.0000
Y Pu Th Sc
1 1 1 1
Direct
0.0000 0.0000 0.0000
0.7500 0.7500 0.7500
0.5000 0.5000 0.5000
0.2500 0.2500 0.2500

***

Dy12Co5Sb | Alexandria via LeMat-Bulk | PBE | relaxed; energy relative to the elements, uncorrected = -0.306 eV per atom; DOS(E_F) = 12.5 states/eV/cell
1.0
-4.6951 4.7230 4.9229
4.6951 -4.7230 4.9229
4.6951 4.7230 -4.9229
Dy Co Sb
12 5 1
Direct
0.0131 0.2065 0.8066
0.1846 0.2908 0.4754
0.1846 0.7092 0.8939
0.3129 0.0057 0.6929
0.3129 0.6200 0.3071
0.3999 0.2065 0.1934
0.6001 0.7935 0.8066
0.6871 0.3800 0.6929
0.6871 0.9943 0.3071
0.8154 0.2908 0.1061
0.8154 0.7092 0.5246
0.9869 0.7935 0.1934
0.0000 0.0000 0.0000
0.1122 0.6122 0.5000
0.3770 0.0000 0.3770
0.6230 0.0000 0.6230
0.8878 0.3878 0.5000
0.5000 0.5000 0.0000

***

Na2CaY2 | Alexandria via LeMat-Bulk | PBE | relaxed; DOS(E_F) = 16.0 states/eV/cell; energy of formation = 37.0 kJ per mole of atoms
1.0
9.7147 0.0000 0.0000
0.0000 9.7147 0.0000
0.0000 0.0000 3.6761
Na Ca Y
4 2 4
Direct
0.1110 0.3890 0.0000
0.3890 0.8890 0.0000
0.6110 0.1110 0.0000
0.8890 0.6110 0.0000
0.0000 0.0000 0.0000
0.5000 0.5000 0.0000
0.1894 0.6894 0.5000
0.3106 0.1894 0.5000
0.6894 0.8106 0.5000
0.8106 0.3106 0.5000

***

Y4TaSe | Alexandria via LeMat-Bulk | PBE | relaxed; energy relative to the elements, uncorrected = 0.653 eV per atom; DOS(E_F) = 6.3 states/eV/cell
1.0
0.0000 4.3486 4.3486
4.3486 0.0000 4.3486
4.3486 4.3486 0.0000
Y Ta Se
4 1 1
Direct
0.3771 0.3771 0.3771
0.3771 0.3771 0.8686
0.3771 0.8686 0.3771
0.8686 0.3771 0.3771
0.7500 0.7500 0.7500
0.0000 0.0000 0.0000

***

TbZr4Sc8 | Alexandria via LeMat-Bulk | PBE | relaxed; DOS(E_F) = 19.8 states/eV/cell; energy of formation = 25.1 kJ per mole of atoms
1.0
5.4283 -3.1278 0.0000
5.4283 3.1278 0.0000
-3.6121 0.0000 9.8788
Tb Zr Sc
1 4 8
Direct
0.0000 0.0000 0.0000
0.0000 0.0000 0.5000
0.0000 0.5000 0.5000
0.5000 0.0000 0.5000
0.5000 0.5000 0.5000
0.2514 0.7398 0.2411
0.2516 0.2516 0.2406
0.2602 0.7486 0.7589
0.3047 0.3047 0.9177
0.6953 0.6953 0.0823
0.7398 0.2514 0.2411
0.7484 0.7484 0.7594
0.7486 0.2602 0.7589

***

LiPmAu4 | Alexandria via LeMat-Bulk | PBE | relaxed; DOS(E_F) = 3.0 states/eV/cell; energy of formation = -52.9 kJ per mole of atoms; relative energy among the computed polymorphs = 0.000 eV per atom
1.0
2.6352 -4.5059 0.0000
2.6352 4.5059 0.0000
0.0000 0.0000 5.1647
Li Pm Au
1 1 4
Direct
0.0000 0.0000 0.0000
0.5000 0.5000 0.5000
0.1621 0.8379 0.5000
0.3229 0.6771 0.0000
0.6771 0.3229 0.0000
0.8379 0.1621 0.5000

***

Nd2TmTl4 | Alexandria via LeMat-Bulk | PBE | relaxed; DOS(E_F) = 6.3 states/eV/cell; energy of formation = -21.6 kJ per mole of atoms; relative energy among the computed polymorphs = 0.000 eV per atom
1.0
-3.6684 3.6684 4.0966
3.6684 -3.6684 4.0966
3.6684 3.6684 -4.0966
Nd Tm Tl
2 1 4
Direct
0.0000 0.5000 0.5000
0.5000 0.0000 0.5000
0.0000 0.0000 0.0000
0.0000 0.0000 0.5000
0.0000 0.5000 0.0000
0.5000 0.0000 0.0000
0.5000 0.5000 0.5000

***

Ta2CrRh | Alexandria via LeMat-Bulk | PBE | relaxed; DOS(E_F) = 3.1 states/eV/cell; energy of formation = 4.2 kJ per mole of atoms
1.0
1.4996 0.8658 8.2152
-1.4996 0.8658 8.2152
0.0000 -1.7316 8.2152
Ta Cr Rh
2 1 1
Direct
0.2457 0.2457 0.2457
0.7543 0.7543 0.7543
0.5000 0.5000 0.5000
0.0000 0.0000 0.0000

***

Nd6Rh2NCl3 | Alexandria via LeMat-Bulk | PBE | relaxed; energy relative to the elements, uncorrected = -1.222 eV per atom; DOS(E_F) = 1.3 states/eV/cell
1.0
3.4603 -5.9869 0.0000
3.4603 5.9869 0.0000
-2.1882 0.0000 7.4699
Nd Rh N Cl
6 2 1 3
Direct
0.0622 0.3719 0.1946
0.2516 0.2516 0.8042
0.3719 0.0622 0.1946
0.6281 0.9378 0.8054
0.7484 0.7484 0.1958
0.9378 0.6281 0.8054
0.3324 0.6676 0.0000
0.6676 0.3324 0.0000
0.0000 0.0000 0.0000
0.1582 0.8418 0.5000
0.5000 0.5000 0.5000
0.8418 0.1582 0.5000

***

BaCeTl | Alexandria via LeMat-Bulk | PBE | relaxed; DOS(E_F) = 7.9 states/eV/cell; energy of formation = 2.4 kJ per mole of atoms; relative energy among the computed polymorphs = 0.205 eV per atom
1.0
5.5811 0.0000 0.0000
-2.7906 4.8334 0.0000
0.0000 0.0000 3.9901
Ba Ce Tl
1 1 1
Direct
0.0000 0.0000 0.0000
0.6667 0.3333 0.4046
0.3333 0.6667 0.5810

***

NaIn2FeC | Alexandria via LeMat-Bulk | PBE | relaxed; DOS(E_F) = 4.4 states/eV/cell; energy of formation = 154.0 kJ per mole of atoms
1.0
4.9748 0.0000 0.0000
0.0000 4.9748 0.0000
0.0000 0.0000 5.4200
Na In Fe C
1 2 1 1
Direct
0.0000 0.0000 0.0000
0.0000 0.5000 0.5000
0.5000 0.0000 0.5000
0.0000 0.0000 0.5000
0.5000 0.5000 0.0000

***

ZrTcRh2 | Alexandria via LeMat-Bulk | PBE | relaxed; DOS(E_F) = 4.8 states/eV/cell; energy of formation = -34.8 kJ per mole of atoms; relative energy among the computed polymorphs = 0.045 eV per atom
1.0
-2.0101 2.0101 3.9306
2.0101 -2.0101 3.9306
2.0101 2.0101 -3.9306
Zr Tc Rh
1 1 2
Direct
0.0000 0.0000 0.0000
0.5000 0.5000 0.0000
0.2500 0.7500 0.5000
0.7500 0.2500 0.5000

***

Np4Ta3MnC8 | Alexandria via LeMat-Bulk | PBE | relaxed; DOS(E_F) = 13.8 states/eV/cell; energy of formation = -17.4 kJ per mole of atoms
1.0
3.2296 1.8646 5.5643
-3.2296 1.8646 5.5643
0.0000 -3.7292 5.5643
Np Ta Mn C
4 3 1 8
Direct
0.0000 0.0000 0.0000
0.0000 0.5000 0.5000
0.5000 0.0000 0.5000
0.5000 0.5000 0.0000
0.0000 0.0000 0.5000
0.0000 0.5000 0.0000
0.5000 0.0000 0.0000
0.5000 0.5000 0.5000
0.2414 0.2414 0.2414
0.2460 0.7380 0.7380
0.2620 0.2620 0.7540
0.2620 0.7540 0.2620
0.7380 0.2460 0.7380
0.7380 0.7380 0.2460
0.7540 0.2620 0.2620
0.7586 0.7586 0.7586

***

CaReIr2 | Alexandria via LeMat-Bulk | PBE | relaxed; DOS(E_F) = 4.7 states/eV/cell; energy of formation = 30.7 kJ per mole of atoms; relative energy among the computed polymorphs = 0.284 eV per atom
1.0
-2.0883 2.1063 3.7526
2.0883 -2.1063 3.7526
2.0883 2.1063 -3.7526
Ca Re Ir
1 1 2
Direct
0.0000 0.0000 0.0000
0.5000 0.5000 0.0000
0.2510 0.7510 0.5000
0.7490 0.2490 0.5000

***

Ba2GaHgPt | Alexandria via LeMat-Bulk | PBE | relaxed; DOS(E_F) = 4.0 states/eV/cell; energy of formation = -54.6 kJ per mole of atoms
1.0
6.1928 0.0000 0.0000
0.0000 6.1928 0.0000
0.0000 0.0000 4.8400
Ba Ga Hg Pt
2 1 1 1
Direct
0.0000 0.5000 0.0000
0.5000 0.0000 0.0000
0.0000 0.0000 0.5000
0.5000 0.5000 0.5000
0.0000 0.0000 0.0000